First-principles (PBE with a Hubbard U) data for crystalline CsMoO at its relaxed geometry, as listed in the Alexandria database. Values from VASP.

Properties
- Total energy: -4.757 eV/atom
- D(E_F): 0.306 states/eV per atom
- M_tot: 0.05 μB per atom
- Calculated volume: 30.73 Å³/atom
- Symmetry: No. 1
- Distance to the lowest polymorph of the same formula: 0.0000 eV/atom

Cell and atoms, written as Quantum ESPRESSO input:
```
&SYSTEM
  ibrav = 0, nat = 6, ntyp = 3
/
ATOMIC_SPECIES
Mo 95.94 Mo.upf
Cs 132.91 Cs.upf
O 16.00 O.upf
CELL_PARAMETERS angstrom
3.358 0.000 0.004
0.000 4.140 -0.001
0.811 0.056 13.262
ATOMIC_POSITIONS crystal
Mo 0.188 0.294 0.428
Mo 0.713 0.796 0.326
Cs 0.766 0.299 0.110
Cs 0.631 0.792 0.657
O 0.152 0.293 0.570
O 0.239 0.797 0.221
```